(1)
Entry from the Open Quantum Materials Database: a relaxed NaNbOsPb crystal (PBE-GGA).

Values from the calculation:
Final energy ... -6.2216 eV/atom
Symmetry ... No. 216
Theoretical density ... 11.8 g cm⁻³

```
NaNbOsPb
1.0
4.6433 0.2236 0.4591
1.8796 1.9638 3.7989
2.1638 -2.6569 3.1749
Nb Os Pb Na
1 1 1 1
Cartesian
0.0000 0.0000 0.0000
2.1717 -0.1174 1.8582
4.3434 -0.2348 3.7164
6.5150 -0.3522 5.5746
```

(2)
Entry from the Open Quantum Materials Database: a relaxed Sm3Tm2Pb3 crystal (PBE-GGA).

Values from the calculation:
Final energy ... -4.8160 eV/atom
Symmetry ... No. 193
Theoretical density ... 9.7 g cm⁻³

```
Sm3Tm2Pb3
1.0
9.1368 0.0000 0.0000
-4.5684 7.9127 0.0000
0.0000 0.0000 6.6481
Tm Pb Sm
4 6 6
Cartesian
4.5684 2.6376 0.0000
0.0000 5.2751 0.0000
4.5684 2.6376 3.3241
0.0000 5.2751 3.3241
-2.7514 4.7656 4.9861
3.6339 0.0000 1.6620
-1.8170 3.1471 1.6620
1.8170 3.1471 4.9861
2.7514 4.7656 1.6620
5.5029 0.0000 4.9861
-3.4772 6.0227 1.6620
2.1824 0.0000 4.9861
1.0912 1.8900 1.6620
3.4772 6.0227 4.9861
-1.0912 1.8900 4.9861
6.9544 0.0000 1.6620
```

(3)
Entry from the Open Quantum Materials Database: a relaxed NdZnSiH2O5 crystal (PBE-GGA).

Values from the calculation:
Final energy ... -6.2950 eV/atom
Symmetry ... No. 9
Theoretical density ... 4.8 g cm⁻³

```
NdZnSiH2O5
1.0
0.8522 4.5441 -6.9263
-4.8431 -5.4537 4.0187
-1.9204 4.3564 2.9801
O Zn H Si Nd
10 2 4 2 2
Cartesian
-5.3179 1.1171 2.7791
-3.2360 1.8567 -0.8799
-3.4731 2.8418 3.8599
-1.4390 0.9580 0.9484
-2.1203 2.8666 -3.0107
-1.9928 3.8497 1.6574
-3.2456 4.5764 -1.2161
-4.1183 -0.8192 0.8161
-4.6372 3.2608 1.4576
-0.9946 3.3289 -0.5480
-3.6620 -0.2045 2.7457
-0.3100 1.8159 -3.3407
-1.4693 -0.1332 0.9924
-2.1653 1.2493 0.3082
-2.9802 3.6824 1.5192
-1.5007 3.6753 0.6976
-2.3896 3.1924 -1.3915
-2.9442 -1.6449 0.0295
-3.3433 0.7043 -3.0782
-5.2833 1.1626 0.2946
```

(4)
Entry from the Open Quantum Materials Database: a relaxed Dy2Sc2CCl5 crystal (PBE-GGA).

Values from the calculation:
Final energy ... -5.7324 eV/atom
Symmetry ... No. 12
Theoretical density ... 4.4 g cm⁻³

```
Dy2Sc2CCl5
1.0
-4.8313 6.3558 2.8776
-7.1627 3.5868 2.8016
3.1896 -2.8653 6.5475
Cl C Sc Dy
5 1 2 2
Cartesian
0.6623 -0.7385 6.5880
-7.7992 6.3137 9.2141
-9.4668 7.8159 5.6387
-1.0052 0.7636 3.0126
-4.4022 3.5387 6.1133
-5.9970 4.9713 2.8396
-7.4245 6.1385 4.1022
-1.3799 0.9388 8.1244
-11.3093 9.3284 7.0510
2.5049 -2.2511 5.1756
```

(5)
Entry from the Open Quantum Materials Database: a relaxed HfZr2Ni4Ge4 crystal (PBE-GGA).

Values from the calculation:
Final energy ... -6.8637 eV/atom
Symmetry ... No. 71
Theoretical density ... 8.8 g cm⁻³

```
HfZr2Ni4Ge4
1.0
-2.1089 -3.6811 6.2420
-6.5005 1.8628 3.3518
3.7089 -2.6643 -6.0089
Ni Ge Zr Hf
4 4 2 1
Cartesian
-5.3413 -3.1366 6.5579
-2.5941 -1.9869 0.4089
-2.3065 -2.4956 3.1760
0.4408 -1.3460 -2.9730
-1.8362 -0.3878 2.0461
-3.9840 -2.1813 4.8436
-6.7732 -1.4305 7.5477
-0.9166 -2.3013 -1.2587
-0.2976 -3.4045 1.3397
-4.6029 -1.0781 2.2453
0.0000 0.0000 0.0000
```

- What is the theoretical density in the fourth record?
  4.4 g cm⁻³

- Among the records above, which one has the lowest final energy?
  HfZr2Ni4Ge4